No. 1
Density functional theory data (PBE) for an optimized crystal structure of NiHgSe2.

Formation energy without anion corrections: 191 kJ/mol of formula units
Size of the total moment: 0.00 μB/atom

Lattice parameters (Å, degrees): 4.944 3.958 3.958 90.00 90.00 90.00
Fractional coordinates of all 4 atoms:
Hg1 0.500 0.500 0.000
Ni1 0.500 0.000 0.500
Se1 0.000 0.000 0.000
Se2 0.000 0.500 0.500

No. 2
Density functional theory data (PBE) for an optimized crystal structure of Cs4K2CdHg2.

Formation enthalpy at 0 K: -0.094 eV/atom
Size of the total moment: 0.00 μB/atom

Lattice parameters (Å, degrees): 7.634 8.701 13.690 135.19 112.58 75.87
Fractional coordinates of all 9 atoms:
Cs1 0.586 0.821 0.072
Cs2 0.720 0.738 0.545
Cs3 0.414 0.179 0.928
Cs4 0.280 0.262 0.455
K1 0.079 0.628 0.297
K2 0.921 0.372 0.703
Cd1 0.000 0.000 0.000
Hg1 0.888 0.286 0.924
Hg2 0.112 0.714 0.076

No. 3
Density functional theory data (PBE) for an optimized crystal structure of LiTeAu4.

Formation energy without anion corrections: -82 kJ/mol of formula units
Size of the total moment: 0.00 μB/atom

Lattice parameters (Å, degrees): 5.606 5.606 5.606 60.00 60.00 60.00
Fractional coordinates of all 6 atoms:
Li1 0.750 0.750 0.750
Te1 0.000 0.000 0.000
Au1 0.873 0.376 0.376
Au2 0.376 0.376 0.873
Au3 0.376 0.873 0.376
Au4 0.376 0.376 0.376

No. 4
Density functional theory data (PBE) for an optimized crystal structure of Ag2SbSe.

Formation energy without anion corrections: 57 kJ/mol of formula units
Size of the total moment: 0.00 μB/atom

Lattice parameters (Å, degrees): 3.662 4.811 4.906 90.00 90.00 90.00
Fractional coordinates of all 4 atoms:
Ag1 0.000 0.000 0.000
Ag2 0.500 0.500 0.000
Sb1 0.500 0.000 0.500
Se1 0.000 0.500 0.500

No. 5
Density functional theory data (PBE) for an optimized crystal structure of KCdMo.

Formation enthalpy at 0 K: 1.442 eV/atom
E above lowest polymorph: 0.568 eV per atom
Size of the total moment: 1.51 μB/atom

Lattice parameters (Å, degrees): 5.266 5.266 5.266 60.00 60.00 60.00
Fractional coordinates of all 3 atoms:
Cd1 0.750 0.750 0.750
K1 0.000 0.000 0.000
Mo1 0.500 0.500 0.500

No. 6
Density functional theory data (PBE) for an optimized crystal structure of ZnHg2S3.

E above lowest polymorph: 0.000 eV per atom
Formation energy without anion corrections: -201 kJ/mol of formula units
Size of the total moment: 0.00 μB/atom

Lattice parameters (Å, degrees): 6.699 7.106 7.106 119.96 90.00 90.00
Fractional coordinates of all 12 atoms:
Zn1 0.054 0.840 0.840
Zn2 0.554 0.160 0.160
Hg1 0.555 0.832 0.508
Hg2 0.055 0.492 0.168
Hg3 0.555 0.508 0.832
Hg4 0.055 0.168 0.492
S1 0.943 0.834 0.522
S2 0.443 0.478 0.166
S3 0.943 0.522 0.834
S4 0.443 0.166 0.478
S5 0.408 0.857 0.857
S6 0.908 0.143 0.143

No. 7
Density functional theory data (PBE) for an optimized crystal structure of Mn17Fe12.

Formation enthalpy at 0 K: 0.050 eV/atom
Size of the total moment: 0.30 μB/atom

Lattice parameters (Å, degrees): 7.459 7.459 7.459 109.47 109.47 109.47
Fractional coordinates of all 29 atoms:
Fe1 0.194 0.821 0.194
Fe2 0.372 0.179 0.372
Fe3 0.806 0.000 0.628
Fe4 0.628 0.000 0.806
Fe5 0.806 0.628 0.000
Fe6 0.628 0.806 0.000
Fe7 0.372 0.372 0.179
Fe8 0.194 0.194 0.821
Fe9 0.000 0.628 0.806
Fe10 0.000 0.806 0.628
Fe11 0.821 0.194 0.194
Fe12 0.179 0.372 0.372
Mn1 0.680 0.295 0.680
Mn2 0.386 0.705 0.386
Mn3 0.320 0.000 0.614
Mn4 0.614 0.000 0.320
Mn5 0.320 0.614 0.000
Mn6 0.614 0.320 0.000
Mn7 0.386 0.386 0.705
Mn8 0.680 0.680 0.295
Mn9 0.000 0.614 0.320
Mn10 0.000 0.320 0.614
Mn11 0.295 0.680 0.680
Mn12 0.705 0.386 0.386
Mn13 0.000 0.370 0.000
Mn14 0.630 0.630 0.630
Mn15 0.000 0.000 0.370
Mn16 0.370 0.000 0.000
Mn17 0.000 0.000 0.000

No. 8
Density functional theory data (PBE) for an optimized crystal structure of InSnSeF2.

Formation energy without anion corrections: -668 kJ/mol of formula units
Size of the total moment: 0.00 μB/atom

Lattice parameters (Å, degrees): 4.560 4.560 5.476 90.00 90.00 90.00
Fractional coordinates of all 5 atoms:
F1 0.000 0.500 0.000
F2 0.500 0.000 0.000
Sn1 0.000 0.000 0.000
Se1 0.000 0.000 0.500
In1 0.500 0.500 0.500

No. 9
Density functional theory data (PBE) for an optimized crystal structure of Ca2Cu2O.

E above lowest polymorph: 0.244 eV per atom
Formation energy without anion corrections: -278 kJ/mol of formula units
Size of the total moment: 0.00 μB/atom

Lattice parameters (Å, degrees): 6.418 6.418 4.983 90.00 90.00 90.00
Fractional coordinates of all 10 atoms:
Ca1 0.302 0.802 0.000
Ca2 0.802 0.698 0.000
Ca3 0.698 0.198 0.000
Ca4 0.198 0.302 0.000
O1 0.000 0.000 0.000
O2 0.500 0.500 0.000
Cu1 0.127 0.627 0.500
Cu2 0.627 0.873 0.500
Cu3 0.873 0.373 0.500
Cu4 0.373 0.127 0.500

No. 10
Density functional theory data (PBE) for an optimized crystal structure of PrEr6.

Formation enthalpy at 0 K: 1.445 eV/atom
Size of the total moment: 0.00 μB/atom

Lattice parameters (Å, degrees): 7.000 7.000 7.000 109.47 109.47 109.47
Fractional coordinates of all 7 atoms:
Pr1 0.000 0.000 0.000
Er1 0.250 0.750 0.500
Er2 0.500 0.750 0.250
Er3 0.250 0.500 0.750
Er4 0.750 0.250 0.500
Er5 0.500 0.250 0.750
Er6 0.750 0.500 0.250

No. 11
Density functional theory data (PBE) for an optimized crystal structure of Cs2SiH5Se.

Electronic total energy: -3.247 eV/atom
Size of the total moment: 0.00 μB/atom

Lattice parameters (Å, degrees): 6.247 6.247 6.247 88.36 120.95 120.95
Fractional coordinates of all 9 atoms:
Cs1 0.500 0.293 0.793
Cs2 0.500 0.793 0.293
Si1 0.000 0.052 0.052
H1 0.360 0.201 0.201
H2 0.640 0.841 0.841
H3 0.000 0.841 0.201
H4 0.000 0.201 0.841
H5 0.000 0.221 0.221
Se1 0.000 0.557 0.557

No. 12
Density functional theory data (PBE) for an optimized crystal structure of Zr2TlSe.

E above lowest polymorph: 0.045 eV per atom
Formation energy without anion corrections: -207 kJ/mol of formula units
Size of the total moment: 0.00 μB/atom

Lattice parameters (Å, degrees): 3.597 3.597 7.578 90.00 90.00 90.00
Fractional coordinates of all 4 atoms:
Se1 0.000 0.000 0.410
Tl1 0.500 0.500 0.787
Zr1 0.000 0.000 0.025
Zr2 0.500 0.500 0.278

Q: Which of these has the highest size of the total moment?
A: KCdMo

Repeat the seventh record exactly.
Density functional theory data (PBE) for an optimized crystal structure of Mn17Fe12.

Formation enthalpy at 0 K: 0.050 eV/atom
Size of the total moment: 0.30 μB/atom

Lattice parameters (Å, degrees): 7.459 7.459 7.459 109.47 109.47 109.47
Fractional coordinates of all 29 atoms:
Fe1 0.194 0.821 0.194
Fe2 0.372 0.179 0.372
Fe3 0.806 0.000 0.628
Fe4 0.628 0.000 0.806
Fe5 0.806 0.628 0.000
Fe6 0.628 0.806 0.000
Fe7 0.372 0.372 0.179
Fe8 0.194 0.194 0.821
Fe9 0.000 0.628 0.806
Fe10 0.000 0.806 0.628
Fe11 0.821 0.194 0.194
Fe12 0.179 0.372 0.372
Mn1 0.680 0.295 0.680
Mn2 0.386 0.705 0.386
Mn3 0.320 0.000 0.614
Mn4 0.614 0.000 0.320
Mn5 0.320 0.614 0.000
Mn6 0.614 0.320 0.000
Mn7 0.386 0.386 0.705
Mn8 0.680 0.680 0.295
Mn9 0.000 0.614 0.320
Mn10 0.000 0.320 0.614
Mn11 0.295 0.680 0.680
Mn12 0.705 0.386 0.386
Mn13 0.000 0.370 0.000
Mn14 0.630 0.630 0.630
Mn15 0.000 0.000 0.370
Mn16 0.370 0.000 0.000
Mn17 0.000 0.000 0.000

Q: Which formula does entry 1 have?
A: NiHgSe2